(1)
# Mg14ZrC

A relaxed Mg14ZrC crystal (PBE, Alexandria).

Values from the calculation:
Energy relative to the lowest polymorph listed for this composition ... 0 meV/atom
Formation energy ... 0.2145 eV per atom
Calculated total energy ... -73.3 eV/cell
Total moment ... 0.00 μB/atom
ρ ... 2.112 g cm⁻³

a = 10.3999 Å, b = 5.8586 Å, c = 11.4477 Å
α = 90.00°, β = 90.00°, γ = 90.00°
Space group Amm2 (No. 38)
Asymmetric unit:
Mg 0.0000 0.0000 0.0000
Mg 0.0000 0.0000 0.4878
Mg 0.0000 0.2478 0.2404
Mg 0.2487 0.0000 0.6446
Mg 0.2492 0.2437 0.3937
Mg 0.3587 0.0000 0.0917
Mg 0.5000 0.2343 0.7763
Zr 0.5000 0.0000 0.5142
C 0.5000 0.0000 0.9342

---

(2)
# MgTlRh

A relaxed MgTlRh crystal (PBE, Alexandria).

Values from the calculation:
Formation energy ... -0.0769 eV per atom
Calculated total energy ... -11.5 eV/cell
Total moment ... 0.00 μB/atom
ρ ... 9.716 g cm⁻³

a = 4.5694 Å, b = 4.5694 Å, c = 3.1343 Å
α = 90.00°, β = 90.00°, γ = 120.00°
Space group P3m1 (No. 156)
Asymmetric unit:
Mg 0.0000 0.0000 0.0000
Tl 0.3333 0.6667 0.5912
Rh 0.6667 0.3333 0.3396

---

(3)
# PBr

A relaxed PBr crystal (PBE, Alexandria).

Values from the calculation:
Energy relative to the lowest polymorph listed for this composition ... 396 meV/atom
Formation energy without anion corrections ... 0.266 eV per atom
Calculated total energy ... -52.4 eV/cell
Total moment ... 0.00 μB/atom
ρ ... 2.551 g cm⁻³

a = 8.3275 Å, b = 8.3275 Å, c = 8.3275 Å
α = 90.00°, β = 90.00°, γ = 90.00°
Space group I-43m (No. 217)
Asymmetric unit:
P 0.0973 0.0973 0.0973
Br 0.2325 0.2325 0.7675

---

(4)
# SrScIn

A relaxed SrScIn crystal (PBE, Alexandria).

Values from the calculation:
Energy relative to the lowest polymorph listed for this composition ... 158 meV/atom
Formation energy ... -0.1563 eV per atom
Calculated total energy ... -44.9 eV/cell
Total moment ... 0.00 μB/atom
ρ ... 4.350 g cm⁻³

a = 12.9469 Å, b = 3.8717 Å, c = 9.0870 Å
α = 90.00°, β = 123.96°, γ = 90.00°
Space group C2/m (No. 12)
Asymmetric unit:
Sr 0.0852 0.0000 0.3185
Sc 0.1738 0.5000 0.0478
In 0.1364 0.5000 0.6761

---

(5)
# Tl2ReSi

A relaxed Tl2ReSi crystal (PBE, Alexandria).

Values from the calculation:
Energy relative to the lowest polymorph listed for this composition ... 197 meV/atom
Formation energy without anion corrections ... 0.550 eV per atom
Calculated total energy ... -40.8 eV/cell
Total moment ... 0.00 μB/atom
ρ ... 11.809 g cm⁻³

a = 3.3505 Å, b = 5.1198 Å, c = 10.2149 Å
α = 90.00°, β = 90.00°, γ = 90.00°
Space group Cmm2 (No. 35)
Asymmetric unit:
Tl 0.0000 0.0000 0.0000
Tl 0.0000 0.5000 0.3268
Re 0.0000 0.0000 0.5696
Si 0.0000 0.5000 0.7347

---

no.,N(E_F) (states/eV/atom)
1,0.445
2,0.396
3,0.655
4,1.232
5,0.752